Entry from the Alexandria database: a relaxed structure of ZnPSO2 (PBE-GGA).

abc: 3.5770 3.5770 4.8154
angles: 90.00 90.00 90.00
Closest atoms and distances in Å follow each position.
Fractional coordinates of all 5 atoms:
P 0.0000 0.0000 0.5000  2 S 2.41, 4 Zn 2.53
Zn 0.5000 0.5000 0.5000  4 P 2.53
S 0.0000 0.0000 0.0000  4 O 1.79
O 0.0000 0.5000 0.0000  2 S 1.79
O 0.5000 0.0000 0.0000  2 S 1.79

Symmetry: P4/mmm
Formation energy without anion corrections in meV/atom: 114
Magnetic moment in Bohr magnetons per cell: 0.00
DOS at the Fermi energy in states/eV per cell: 1.99

=====

Entry from the Alexandria database: a relaxed structure of ZnP2SO (PBE-GGA).

abc: 3.9964 3.9964 4.7369
angles: 90.00 90.00 90.00
Closest atoms and distances in Å follow each position.
Fractional coordinates of all 5 atoms:
P 0.0000 0.5000 0.0000  2 O 2.00
P 0.5000 0.0000 0.0000  2 O 2.00
Zn 0.5000 0.5000 0.5000  4 S 2.83, 8 P 3.10
S 0.0000 0.0000 0.5000  2 O 2.37
O 0.0000 0.0000 0.0000  4 P 2.00

Symmetry: P4/mmm
Formation energy without anion corrections in meV/atom: 627
Magnetic moment in Bohr magnetons per cell: 0.00
DOS at the Fermi energy in states/eV per cell: 3.54

=====

Entry from the Alexandria database: a relaxed structure of ZnP2SO (PBE-GGA).

abc: 4.7243 4.7243 3.3946
angles: 90.00 90.00 90.00
Closest atoms and distances in Å follow each position.
Fractional coordinates of all 5 atoms:
P 0.0000 0.5000 0.0000  2 S 2.36
P 0.5000 0.0000 0.0000  2 S 2.36
Zn 0.5000 0.5000 0.5000  8 P 2.91
S 0.0000 0.0000 0.0000  2 O 1.70
O 0.0000 0.0000 0.5000  2 S 1.70

Symmetry: P4/mmm
Formation energy without anion corrections in meV/atom: 475
Magnetic moment in Bohr magnetons per cell: 0.00
DOS at the Fermi energy in states/eV per cell: 1.90

=====

Entry from the Alexandria database: a relaxed structure of ZrPS2O (PBE-GGA).

abc: 4.8607 4.8607 5.2518
angles: 90.00 90.00 90.00
Closest atoms and distances in Å follow each position.
Fractional coordinates of all 5 atoms:
P 0.0000 0.0000 0.5000  2 Zr 2.63
S 0.0000 0.5000 0.0000  2 Zr 2.43
S 0.5000 0.0000 0.0000  2 Zr 2.43
O 0.5000 0.5000 0.5000  4 P 3.44, 8 S 3.58
Zr 0.0000 0.0000 0.0000  4 S 2.43, 2 P 2.63

Symmetry: P4/mmm
Formation energy without anion corrections in meV/atom: 570
Magnetic moment in Bohr magnetons per cell: 0.00
DOS at the Fermi energy in states/eV per cell: 11.17

=====

Entry from the Alexandria database: a relaxed structure of ZrPSO2 (PBE-GGA).

abc: 3.9595 3.9595 6.0562
angles: 90.00 90.00 90.00
Closest atoms and distances in Å follow each position.
Fractional coordinates of all 5 atoms:
P 0.0000 0.0000 0.5000  4 S 2.80, 2 Zr 3.03
S 0.5000 0.5000 0.5000  4 P 2.80
O 0.0000 0.5000 0.0000  2 Zr 1.98
O 0.5000 0.0000 0.0000  2 Zr 1.98
Zr 0.0000 0.0000 0.0000  4 O 1.98

Symmetry: P4/mmm
Formation energy without anion corrections in meV/atom: -988
Magnetic moment in Bohr magnetons per cell: 0.45
DOS at the Fermi energy in states/eV per cell: 3.72

=====

Entry from the Alexandria database: a relaxed structure of ZrPSO2 (PBE-GGA).

abc: 3.7672 3.7672 4.7329
angles: 90.00 90.00 90.00
Closest atoms and distances in Å follow each position.
Fractional coordinates of all 5 atoms:
P 0.0000 0.0000 0.5000  2 S 2.37
S 0.0000 0.0000 0.0000  4 O 1.88
O 0.0000 0.5000 0.0000  2 S 1.88
O 0.5000 0.0000 0.0000  2 S 1.88
Zr 0.5000 0.5000 0.5000  4 P 2.66

Symmetry: P4/mmm
Formation energy without anion corrections in meV/atom: -374
Magnetic moment in Bohr magnetons per cell: 0.00
DOS at the Fermi energy in states/eV per cell: 1.22

=====

Entry from the Alexandria database: a relaxed structure of ZrPS2O (PBE-GGA).

abc: 4.3624 4.3624 3.9647
angles: 90.00 90.00 90.00
Closest atoms and distances in Å follow each position.
Fractional coordinates of all 5 atoms:
P 0.0000 0.0000 0.5000  2 O 1.98
S 0.0000 0.5000 0.0000  2 O 2.18
S 0.5000 0.0000 0.0000  2 O 2.18
O 0.0000 0.0000 0.0000  2 P 1.98, 4 S 2.18
Zr 0.5000 0.5000 0.5000  8 S 2.95, 4 P 3.08

Symmetry: P4/mmm
Formation energy without anion corrections in meV/atom: -54
Magnetic moment in Bohr magnetons per cell: 0.00
DOS at the Fermi energy in states/eV per cell: 4.07

=====

Entry from the Alexandria database: a relaxed structure of Sb2PO (PBE-GGA).

abc: 6.4749 6.4749 6.2378
angles: 58.73 58.73 90.00
Closest atoms and distances in Å follow each position.
Fractional coordinates of all 8 atoms:
Sb 0.5817 0.1250 0.2500  2 O 2.35
Sb 0.1683 0.6250 0.2500  2 O 2.35
Sb 0.3750 0.4183 0.7500  2 O 2.35
Sb 0.8750 0.8317 0.7500  2 O 2.35
O 0.5000 0.5000 0.0000  4 Sb 2.35
O 0.2500 0.7500 0.5000  4 Sb 2.35
P 0.0000 0.0000 0.0000  4 Sb 2.71
P 0.7500 0.2500 0.5000  4 Sb 2.71

Symmetry: I-42d
Formation energy without anion corrections in meV/atom: -51
Magnetic moment in Bohr magnetons per cell: 0.00
DOS at the Fermi energy in states/eV per cell: 2.97